# PrHfAl

A relaxed PrHfAl crystal (GGA-PBE, OQMD).

a = 4.9904 Å, b = 4.9904 Å, c = 4.9904 Å
α = 60.00°, β = 60.00°, γ = 60.00°
Fractional coordinates of all 3 atoms:
Pr: 0.0000 0.0000 0.0000
Hf: 0.2500 0.2500 0.2500
Al: 0.7500 0.7500 0.7500

## Properties
Crystal system ... cubic
Space group ... F-43m (216)
Energy relative to the lowest polymorph listed for this composition ... 251 meV/atom

# Gd4Re2W

A relaxed Gd4Re2W crystal (GGA-PBE, OQMD).

a = 3.0742 Å, b = 3.0742 Å, c = 17.3856 Å
α = 91.12°, β = 91.12°, γ = 69.89°
Fractional coordinates of all 7 atoms:
Gd: 0.0000 0.0000 0.0000
Gd: 0.0120 0.0120 0.2634
Gd: 0.0381 0.0381 0.5234
Gd: 0.9814 0.9814 0.7226
Re: 0.5039 0.5039 0.1308
Re: 0.5236 0.5236 0.3985
W: 0.4835 0.4835 0.8554

## Properties
Crystal system ... monoclinic
Energy relative to the elements ... 587 meV per atom
Space group ... Cm (8)

# CoSnGe

A relaxed CoSnGe crystal (GGA-PBE, OQMD).

a = 4.2072 Å, b = 4.2072 Å, c = 4.2072 Å
α = 60.00°, β = 60.00°, γ = 60.00°
Fractional coordinates of all 3 atoms:
Co: 0.0000 0.0000 0.0000
Sn: 0.2500 0.2500 0.2500
Ge: 0.7500 0.7500 0.7500

## Properties
Crystal system ... cubic
Space group ... F-43m (216)
Total energy ... -15.91 eV per formula unit

# TaInTeAuS2

A relaxed TaInTeAuS2 crystal (GGA-PBE, OQMD).

a = 8.3330 Å, b = 8.3330 Å, c = 10.4395 Å
α = 90.00°, β = 90.00°, γ = 155.92°
Fractional coordinates of all 12 atoms:
Ta: 0.0000 0.0000 0.0000
Ta: 0.0000 0.0000 0.5000
In: 0.2313 0.7687 0.7500
In: 0.7687 0.2313 0.2500
Te: 0.0842 0.9158 0.2500
Te: 0.9158 0.0842 0.7500
Au: 0.4366 0.5634 0.2500
Au: 0.5634 0.4366 0.7500
S: 0.3915 0.6085 0.0312
S: 0.3915 0.6085 0.4688
S: 0.6085 0.3915 0.5312
S: 0.6085 0.3915 0.9688

## Properties
Crystal system ... orthorhombic
Space group ... Cmcm (63)
Total energy ... -31.04 eV per formula unit

# TbGdAg2As4

A relaxed TbGdAg2As4 crystal (GGA-PBE, OQMD).

a = 4.0082 Å, b = 4.0082 Å, c = 10.3378 Å
α = 90.00°, β = 90.00°, γ = 90.00°
Fractional coordinates of all 8 atoms:
Tb: 0.0000 0.0000 0.0000
Gd: 0.5000 0.5000 0.5478
Ag: 0.0000 0.5000 0.2732
Ag: 0.5000 0.0000 0.2732
As: 0.0000 0.0000 0.4606
As: 0.0000 0.5000 0.7746
As: 0.5000 0.0000 0.7746
As: 0.5000 0.5000 0.0857

## Properties
Crystal system ... tetragonal
Space group ... P4mm (99)
Total energy ... -39.66 eV per formula unit

# La2Tb2Pt

A relaxed La2Tb2Pt crystal (GGA-PBE, OQMD).

a = 3.7861 Å, b = 3.7861 Å, c = 26.1956 Å
α = 90.00°, β = 90.00°, γ = 120.00°
Fractional coordinates of all 10 atoms:
La: 0.3333 0.6667 0.0745
La: 0.3333 0.6667 0.4255
La: 0.6667 0.3333 0.5745
La: 0.6667 0.3333 0.9255
Tb: 0.3333 0.6667 0.6875
Tb: 0.3333 0.6667 0.8125
Tb: 0.6667 0.3333 0.1875
Tb: 0.6667 0.3333 0.3125
Pt: 0.0000 0.0000 0.0000
Pt: 0.0000 0.0000 0.5000

## Properties
Crystal system ... hexagonal
Energy relative to the elements ... -249 meV per atom
Space group ... P6_3/mmc (194)